Nd3Y5Er3: relaxed, PBE.

Values from the calculation:
The total magnetic moment comes out at 0.000 μB/atom. The volume is 438.4 Å³ per cell. The calculation puts the density at 5.22 Mg/m³. As for the formation energy: 0.815 eV per atom. The calculation puts the energy above the most stable polymorph in this dataset at 0.43 eV/f.u. As for the uncorrected energy: -4.668 eV per atom.

POSCAR file:
```
Nd3Y5Er3
1.0
5.3354 0.0000 0.0000
0.0000 9.7402 0.0000
0.0000 -4.8701 8.4353
Nd Y Er
3 5 3
direct
0.5000 0.6320 0.6320 Nd
0.5000 0.0000 0.3680 Nd
0.5000 0.3680 0.0000 Nd
0.5000 0.3333 0.6667 Y
0.5000 0.6667 0.3333 Y
0.5000 0.2557 0.2557 Y
0.5000 0.0000 0.7443 Y
0.5000 0.7443 0.0000 Y
0.0000 0.4527 0.4527 Er
0.0000 0.5473 0.0000 Er
0.0000 0.0000 0.5473 Er
```